Computed, not measured: crystalline Sr2TaCoO6 at its relaxed geometry at the PBE with a Hubbard U level of DFT.

Computed properties:
VASP energy, eV/atom: -7.5038
Symmetry: Fm-3m, No. 225

Structure (CIF):
```
data_Sr2TaCoO6
_chemical_formula_sum 'Sr2 Ta1 Co1 O6'
_cell_length_a 5.5942
_cell_length_b 5.5942
_cell_length_c 5.5942
_cell_angle_alpha 60.00
_cell_angle_beta 60.00
_cell_angle_gamma 60.00
_symmetry_space_group_name_H-M 'P 1'
_symmetry_Int_Tables_number 1
loop_
_symmetry_equiv_pos_as_xyz
'x,y,z'
loop_
_atom_site_label
_atom_site_type_symbol
_atom_site_fract_x
_atom_site_fract_y
_atom_site_fract_z
_atom_site_occupancy
Sr1 Sr 0.2500 0.2500 0.2500 1
Sr2 Sr 0.7500 0.7500 0.7500 1
Ta1 Ta 0.0000 0.0000 0.0000 1
Co1 Co 0.5000 0.5000 0.5000 1
O1 O 0.2503 0.2503 0.7497 1
O2 O 0.2503 0.7497 0.2503 1
O3 O 0.2503 0.7497 0.7497 1
O4 O 0.7497 0.2503 0.2503 1
O5 O 0.7497 0.2503 0.7497 1
O6 O 0.7497 0.7497 0.2503 1
```